Crystalline Tb2Er2Ru at its relaxed geometry, computed with GGA-PBE.

abc: 6.9475 6.9475 7.3294
angles: 103.32 103.32 116.63
Atoms (fractional coordinates):
Tb 0.2295 0.2295 0.4044
Tb 0.2576 0.2576 0.9075
Tb 0.7424 0.7424 0.0925
Tb 0.7705 0.7705 0.5956
Er 0.2240 0.6716 0.2466
Er 0.3284 0.7760 0.7534
Er 0.6716 0.2240 0.2466
Er 0.7760 0.3284 0.7534
Ru 0.1285 0.8715 0.0000
Ru 0.8715 0.1285 0.0000

Values from the calculation:
ΔE_f: -0.9 eV/f.u.